# 1
## Sc2InCoBi (PBE-GGA)

Data for Sc2InCoBi after structural relaxation.

Cell lengths 5.430, 4.735, 5.430 Å; angles 90.00, 90.00, 90.00 degrees
Sites, in units of the cell vectors:
Sc: 0.000 0.000 0.500
Sc: 0.500 0.000 0.000
Co: 0.000 0.500 0.000
Bi: 0.000 0.000 0.000
In: 0.500 0.500 0.500

DFT total energy   -0.34723 Ry per atom
ρ   5.62 g/cm3
Magnetization   0.00 Bohr magnetons per cell
Formation enthalpy at 0 K   0.55 eV/atom

=====

# 2
## Re2Si2As (PBE-GGA)

Data for Re2Si2As after structural relaxation.

Cell lengths 7.216, 7.216, 2.873 Å; angles 90.00, 90.00, 90.00 degrees
Sites, in units of the cell vectors:
Re: 0.345 0.845 0.000
Re: 0.845 0.655 0.000
Re: 0.655 0.155 0.000
Re: 0.155 0.345 0.000
As: 0.000 0.000 0.000
As: 0.500 0.500 0.000
Si: 0.138 0.638 0.500
Si: 0.638 0.862 0.500
Si: 0.862 0.362 0.500
Si: 0.362 0.138 0.500

DFT total energy   -0.58586 Ry per atom
ρ   11.18 g/cm3
Magnetization   0.00 Bohr magnetons per cell
Formation energy from raw total energies   0.107 eV per atom

=====

# 3
## Cs2CdAgI5 (PBE-GGA)

Data for Cs2CdAgI5 after structural relaxation.

Cell lengths 4.792, 11.617, 15.445 Å; angles 90.00, 90.00, 101.90 degrees
Sites, in units of the cell vectors:
Cs: 0.871 0.743 0.813
Cs: 0.122 0.244 0.704
Cs: 0.129 0.257 0.313
Cs: 0.878 0.756 0.204
Cd: 0.790 0.581 0.523
Cd: 0.210 0.419 0.023
Ag: 0.571 0.142 0.929
Ag: 0.429 0.858 0.429
I: 0.337 0.673 0.009
I: 0.700 0.400 0.882
I: 0.501 0.003 0.781
I: 0.289 0.578 0.652
I: 0.921 0.841 0.531
I: 0.663 0.327 0.509
I: 0.300 0.600 0.382
I: 0.499 0.997 0.281
I: 0.711 0.422 0.152
I: 0.079 0.159 0.031

DFT total energy   -0.17666 Ry per atom
ρ   4.42 g/cm3
Magnetization   0.00 Bohr magnetons per cell
Formation energy from raw total energies   -0.934 eV per atom

=====

# 4
## Dy6Cu2Au (PBE-GGA)

Data for Dy6Cu2Au after structural relaxation.

Cell lengths 8.391, 8.391, 8.391 Å; angles 107.73, 109.83, 110.87 degrees
Sites, in units of the cell vectors:
Dy: 0.548 0.726 0.822
Dy: 0.452 0.274 0.178
Dy: 0.095 0.274 0.822
Dy: 0.905 0.726 0.178
Dy: 0.812 0.753 0.564
Dy: 0.188 0.247 0.436
Dy: 0.188 0.753 0.941
Dy: 0.812 0.247 0.059
Dy: 0.698 0.373 0.674
Dy: 0.302 0.627 0.326
Dy: 0.302 0.976 0.674
Dy: 0.698 0.024 0.326
Cu: 0.500 0.379 0.879
Cu: 0.500 0.621 0.121
Cu: 0.646 0.000 0.646
Cu: 0.354 0.000 0.354
Au: 0.000 0.500 0.500
Au: 0.000 0.000 0.000

DFT total energy   -0.34059 Ry per atom
ρ   9.49 g/cm3
Magnetization   0.00 Bohr magnetons per cell
Formation enthalpy at 0 K   -0.29 eV/atom

=====

# 5
## InIr3 (PBE-GGA)

Data for InIr3 after structural relaxation.

Cell lengths 5.089, 5.089, 5.089 Å; angles 90.00, 90.00, 90.00 degrees
Sites, in units of the cell vectors:
In: 0.000 0.000 0.000
In: 0.500 0.500 0.500
Ir: 0.750 0.500 0.000
Ir: 0.250 0.500 0.000
Ir: 0.000 0.750 0.500
Ir: 0.000 0.250 0.500
Ir: 0.500 0.000 0.250
Ir: 0.500 0.000 0.750

DFT total energy   -0.49647 Ry per atom
ρ   17.43 g/cm3
Magnetization   0.00 Bohr magnetons per cell
Formation enthalpy at 0 K   0.58 eV/atom

=====

# 6
## CsI2 (PBE-GGA)

Data for CsI2 after structural relaxation.

Cell lengths 6.022, 5.250, 11.358 Å; angles 90.00, 96.84, 90.00 degrees
Sites, in units of the cell vectors:
Cs: 0.000 0.500 0.390
Cs: 0.561 0.500 0.925
I: 0.057 0.000 0.883
I: 0.504 0.000 0.432
I: 0.280 0.000 0.658
I: 0.786 0.000 0.156

DFT total energy   -0.17385 Ry per atom
ρ   3.60 g/cm3
Magnetization   0.00 Bohr magnetons per cell
Formation energy from raw total energies   -1.047 eV per atom